DFT (GGA-PBE) results for an optimized crystal structure of PmUCrN3.

Cell: 3.338 7.273 7.317 Å, 102.65 90.00 90.00°
Fractional positions:
Cr 0.750 0.909 0.415
Pm 0.750 0.826 0.796
N 0.250 0.118 0.857
N 0.250 0.814 0.531
Cr 0.250 0.091 0.585
U 0.250 0.664 0.178
U 0.750 0.336 0.822
N 0.750 0.186 0.469
N 0.250 0.563 0.869
Pm 0.250 0.174 0.204
N 0.750 0.437 0.131
N 0.750 0.882 0.143

The total energy is -56.87 eV/f.u. As for the space group: P2_1/m. The crystal system is monoclinic. Its density of states at the Fermi level is 0.884 states/eV/atom. The formation energy (no corrections) comes out at -1.04 eV/atom.